Density functional theory data (PBE) for a relaxed Tm4CdAg2 crystal.

It has space group R-3m (No. 166, hexagonal axes), with a = 5.0747 Å, b = 5.0747 Å, c = 24.3596 Å, α = 90.00°, β = 90.00° and γ = 120.00°. The distinct sites, in fractional coordinates, are Tm at (0.0000, 0.0000, 0.1178), Tm at (0.0000, 0.0000, 0.3705), Cd at (0.0000, 0.0000, 0.5000) and Ag at (0.0000, 0.0000, 0.2467).

The magnetic moment is 0.0 μB/f.u. The calculation puts the formation energy at -0.17 eV/atom. The energy above the most stable polymorph in this dataset is 0.0 meV/atom.